[1]
An optimized crystal structure of LiPmSc2. Source: the Alexandria database, functional GGA-PBE.

Cell lengths 3.303, 3.303, 34.721 Å; angles 90.00, 90.00, 120.00 degrees
Sites, in units of the cell vectors:
Li (0.000, 0.000, 0.000)
Li (0.333, 0.667, 0.667)
Li (0.667, 0.333, 0.333)
Pm (0.000, 0.000, 0.500)
Pm (0.333, 0.667, 0.167)
Pm (0.667, 0.333, 0.833)
Sc (0.000, 0.000, 0.087)
Sc (0.000, 0.000, 0.913)
Sc (0.333, 0.667, 0.580)
Sc (0.333, 0.667, 0.754)
Sc (0.667, 0.333, 0.246)
Sc (0.667, 0.333, 0.420)

## Properties
Calculated total energy = -4.588 eV per atom
Mass density = 3.7 g cm⁻³
M_tot = 0.00 μB per atom



[2]
An optimized crystal structure of LiPu2Ni9. Source: the Alexandria database, functional GGA-PBE.

Cell lengths 8.537, 8.537, 8.537 Å; angles 33.25, 33.25, 33.25 degrees
Sites, in units of the cell vectors:
Li (0.000, 0.000, 0.000)
Pu (0.138, 0.138, 0.138)
Pu (0.862, 0.862, 0.862)
Ni (0.080, 0.582, 0.582)
Ni (0.333, 0.333, 0.333)
Ni (0.418, 0.418, 0.920)
Ni (0.418, 0.920, 0.418)
Ni (0.500, 0.500, 0.500)
Ni (0.582, 0.080, 0.582)
Ni (0.582, 0.582, 0.080)
Ni (0.667, 0.667, 0.667)
Ni (0.920, 0.418, 0.418)

## Properties
Calculated total energy = -6.991 eV per atom
Mass density = 10.2 g cm⁻³
M_tot = 0.63 μB per atom



[3]
An optimized crystal structure of TbPm3Pu3S8. Source: the Alexandria database, functional GGA-PBE.

Cell lengths 7.991, 7.991, 7.991 Å; angles 59.81, 59.81, 59.81 degrees
Sites, in units of the cell vectors:
Tb (0.000, 0.000, 0.000)
Pm (0.000, 0.000, 0.500)
Pm (0.000, 0.500, 0.000)
Pm (0.500, 0.000, 0.000)
Pu (0.000, 0.500, 0.500)
Pu (0.500, 0.000, 0.500)
Pu (0.500, 0.500, 0.000)
S (0.246, 0.246, 0.750)
S (0.246, 0.750, 0.246)
S (0.250, 0.754, 0.754)
S (0.253, 0.253, 0.253)
S (0.747, 0.747, 0.747)
S (0.750, 0.246, 0.246)
S (0.754, 0.250, 0.754)
S (0.754, 0.754, 0.250)

## Properties
Calculated total energy = -8.269 eV per atom
ΔE_f (raw) = -1943 meV/atom
Mass density = 7.3 g cm⁻³
M_tot = 1.12 μB per atom



[4]
An optimized crystal structure of InCoAs2. Source: the Alexandria database, functional GGA-PBE.

Cell lengths 6.605, 6.605, 6.605 Å; angles 90.00, 90.00, 90.00 degrees
Sites, in units of the cell vectors:
In (0.000, 0.000, 0.000)
In (0.000, 0.500, 0.500)
In (0.500, 0.000, 0.500)
In (0.500, 0.500, 0.000)
Co (0.250, 0.250, 0.750)
Co (0.250, 0.750, 0.250)
Co (0.750, 0.250, 0.250)
Co (0.750, 0.750, 0.750)
As (0.000, 0.000, 0.500)
As (0.000, 0.500, 0.000)
As (0.250, 0.250, 0.250)
As (0.250, 0.750, 0.750)
As (0.500, 0.000, 0.000)
As (0.500, 0.500, 0.500)
As (0.750, 0.250, 0.750)
As (0.750, 0.750, 0.250)

## Properties
Calculated total energy = -4.283 eV per atom
Mass density = 7.5 g cm⁻³
M_tot = 0.16 μB per atom



[5]
An optimized crystal structure of InGaS2. Source: the Alexandria database, functional GGA-PBE.

Cell lengths 6.905, 3.742, 9.679 Å; angles 90.00, 110.81, 90.00 degrees
Sites, in units of the cell vectors:
In (0.227, 0.250, 0.044)
In (0.773, 0.750, 0.956)
Ga (0.066, 0.750, 0.642)
Ga (0.934, 0.250, 0.358)
S (0.157, 0.750, 0.425)
S (0.317, 0.750, 0.860)
S (0.683, 0.250, 0.140)
S (0.843, 0.250, 0.575)

## Properties
Calculated total energy = -4.005 eV per atom
ΔE_f (raw) = -499 meV/atom
Mass density = 3.5 g cm⁻³
M_tot = 0.00 μB per atom



[6]
An optimized crystal structure of P2IrPbO. Source: the Alexandria database, functional GGA-PBE.

Cell lengths 5.125, 5.125, 3.964 Å; angles 90.00, 90.00, 90.00 degrees
Sites, in units of the cell vectors:
P (0.000, 0.500, 0.000)
P (0.500, 0.000, 0.000)
Ir (0.000, 0.000, 0.500)
Pb (0.500, 0.500, 0.000)
O (0.500, 0.500, 0.500)

## Properties
Calculated total energy = -4.182 eV per atom
ΔE_f (raw) = 1487 meV/atom
Mass density = 7.6 g cm⁻³
M_tot = 0.05 μB per atom



[7]
An optimized crystal structure of TaReAg2. Source: the Alexandria database, functional GGA-PBE.

Cell lengths 3.759, 3.759, 20.602 Å; angles 90.00, 90.00, 90.00 degrees
Sites, in units of the cell vectors:
Ta (0.000, 0.000, 0.000)
Ta (0.000, 0.500, 0.250)
Ta (0.500, 0.000, 0.750)
Ta (0.500, 0.500, 0.500)
Re (0.000, 0.000, 0.500)
Re (0.000, 0.500, 0.750)
Re (0.500, 0.000, 0.250)
Re (0.500, 0.500, 0.000)
Ag (0.246, 0.250, 0.625)
Ag (0.250, 0.746, 0.875)
Ag (0.250, 0.754, 0.375)
Ag (0.254, 0.250, 0.125)
Ag (0.746, 0.750, 0.125)
Ag (0.750, 0.246, 0.375)
Ag (0.750, 0.254, 0.875)
Ag (0.754, 0.750, 0.625)

## Properties
Calculated total energy = -6.742 eV per atom
Mass density = 13.3 g cm⁻³
M_tot = 0.00 μB per atom



[8]
An optimized crystal structure of Pm3Be2AsPt9. Source: the Alexandria database, functional GGA-PBE.

Cell lengths 5.848, 5.848, 9.341 Å; angles 90.00, 90.00, 120.00 degrees
Sites, in units of the cell vectors:
Pm (0.000, 0.000, 0.000)
Pm (0.333, 0.667, 0.615)
Pm (0.667, 0.333, 0.385)
Be (0.333, 0.667, 0.150)
Be (0.667, 0.333, 0.850)
As (0.000, 0.000, 0.500)
Pt (0.000, 0.500, 0.000)
Pt (0.165, 0.330, 0.298)
Pt (0.165, 0.835, 0.298)
Pt (0.330, 0.165, 0.702)
Pt (0.500, 0.000, 0.000)
Pt (0.500, 0.500, 0.000)
Pt (0.670, 0.835, 0.298)
Pt (0.835, 0.165, 0.702)
Pt (0.835, 0.670, 0.702)

## Properties
Calculated total energy = -6.151 eV per atom
Mass density = 13.7 g cm⁻³
M_tot = 0.00 μB per atom



[9]
An optimized crystal structure of YRu3C. Source: the Alexandria database, functional GGA-PBE.

Cell lengths 5.909, 5.909, 5.190 Å; angles 107.49, 107.49, 59.53 degrees
Sites, in units of the cell vectors:
Y (0.000, 0.000, 0.000)
Y (0.743, 0.743, 0.436)
Ru (0.003, 0.484, 0.955)
Ru (0.258, 0.258, 0.461)
Ru (0.266, 0.735, 0.478)
Ru (0.484, 0.003, 0.955)
Ru (0.506, 0.506, 0.939)
Ru (0.735, 0.266, 0.478)
C (0.131, 0.131, 0.675)
C (0.386, 0.386, 0.173)

## Properties
Calculated total energy = -8.765 eV per atom
Mass density = 9.2 g cm⁻³
M_tot = 0.00 μB per atom



[10]
An optimized crystal structure of V2TcMo8. Source: the Alexandria database, functional GGA-PBE.

Cell lengths 5.732, 5.732, 5.937 Å; angles 90.00, 90.00, 90.00 degrees
Sites, in units of the cell vectors:
V (0.000, 0.500, 0.000)
V (0.500, 0.000, 0.000)
Tc (0.000, 0.000, 0.500)
Mo (0.271, 0.271, 0.259)
Mo (0.271, 0.271, 0.741)
Mo (0.271, 0.729, 0.259)
Mo (0.271, 0.729, 0.741)
Mo (0.729, 0.271, 0.259)
Mo (0.729, 0.271, 0.741)
Mo (0.729, 0.729, 0.259)
Mo (0.729, 0.729, 0.741)

## Properties
Calculated total energy = -9.583 eV per atom
Mass density = 8.2 g cm⁻³
M_tot = 0.00 μB per atom



[11]
An optimized crystal structure of Ca2InHg2. Source: the Alexandria database, functional GGA-PBE.

Cell lengths 5.987, 5.987, 8.789 Å; angles 90.00, 90.00, 90.00 degrees
Sites, in units of the cell vectors:
Ca (0.000, 0.500, 0.250)
Ca (0.000, 0.500, 0.750)
Ca (0.500, 0.000, 0.250)
Ca (0.500, 0.000, 0.750)
In (0.000, 0.000, 0.000)
In (0.500, 0.500, 0.500)
Hg (0.000, 0.000, 0.343)
Hg (0.000, 0.000, 0.657)
Hg (0.500, 0.500, 0.157)
Hg (0.500, 0.500, 0.843)

## Properties
Calculated total energy = -1.722 eV per atom
Mass density = 6.3 g cm⁻³
M_tot = 0.00 μB per atom



[12]
An optimized crystal structure of ZnCdAu3. Source: the Alexandria database, functional GGA-PBE.

Cell lengths 7.163, 5.587, 9.739 Å; angles 90.00, 110.46, 90.00 degrees
Sites, in units of the cell vectors:
Zn (0.182, 0.103, 0.002)
Zn (0.182, 0.397, 0.502)
Zn (0.818, 0.603, 0.498)
Zn (0.818, 0.897, 0.998)
Cd (0.370, 0.623, 0.859)
Cd (0.370, 0.877, 0.359)
Cd (0.630, 0.123, 0.641)
Cd (0.630, 0.377, 0.141)
Au (0.041, 0.206, 0.219)
Au (0.041, 0.294, 0.719)
Au (0.187, 0.600, 0.086)
Au (0.187, 0.900, 0.586)
Au (0.454, 0.124, 0.861)
Au (0.454, 0.376, 0.361)
Au (0.546, 0.624, 0.639)
Au (0.546, 0.876, 0.139)
Au (0.813, 0.100, 0.414)
Au (0.813, 0.400, 0.914)
Au (0.959, 0.706, 0.281)
Au (0.959, 0.794, 0.781)

## Properties
Calculated total energy = -2.548 eV per atom
Mass density = 14.0 g cm⁻³
M_tot = 0.00 μB per atom



[13]
An optimized crystal structure of BaCrW. Source: the Alexandria database, functional GGA-PBE.

Cell lengths 7.091, 7.091, 7.091 Å; angles 90.00, 90.00, 90.00 degrees
Sites, in units of the cell vectors:
Ba (0.000, 0.000, 0.000)
Ba (0.000, 0.500, 0.500)
Ba (0.500, 0.000, 0.500)
Ba (0.500, 0.500, 0.000)
Cr (0.250, 0.250, 0.750)
Cr (0.250, 0.750, 0.250)
Cr (0.750, 0.250, 0.250)
Cr (0.750, 0.750, 0.750)
W (0.250, 0.250, 0.250)
W (0.250, 0.750, 0.750)
W (0.750, 0.250, 0.750)
W (0.750, 0.750, 0.250)

## Properties
Calculated total energy = -5.673 eV per atom
Mass density = 7.0 g cm⁻³
M_tot = 0.52 μB per atom



[14]
An optimized crystal structure of Cr2ReCl. Source: the Alexandria database, functional GGA-PBE.

Cell lengths 2.796, 4.337, 8.417 Å; angles 90.00, 90.00, 90.00 degrees
Sites, in units of the cell vectors:
Cr (0.000, 0.000, 0.226)
Cr (0.000, 0.000, 0.774)
Cr (0.500, 0.500, 0.274)
Cr (0.500, 0.500, 0.726)
Re (0.000, 0.500, 0.000)
Re (0.500, 0.000, 0.500)
Cl (0.000, 0.500, 0.500)
Cl (0.500, 0.000, 0.000)

## Properties
Calculated total energy = -7.624 eV per atom
ΔE_f (raw) = 761 meV/atom
Mass density = 10.6 g cm⁻³
M_tot = 0.00 μB per atom



[15]
An optimized crystal structure of PmNdCd5. Source: the Alexandria database, functional GGA-PBE.

Cell lengths 7.118, 7.673, 7.080 Å; angles 90.00, 90.00, 90.00 degrees
Sites, in units of the cell vectors:
Pm (0.000, 0.000, 0.000)
Pm (0.500, 0.500, 0.000)
Nd (0.000, 0.500, 0.500)
Nd (0.500, 0.000, 0.500)
Cd (0.000, 0.500, 0.000)
Cd (0.250, 0.250, 0.260)
Cd (0.250, 0.250, 0.740)
Cd (0.250, 0.750, 0.260)
Cd (0.250, 0.750, 0.740)
Cd (0.500, 0.000, 0.000)
Cd (0.750, 0.250, 0.260)
Cd (0.750, 0.250, 0.740)
Cd (0.750, 0.750, 0.260)
Cd (0.750, 0.750, 0.740)

## Properties
Calculated total energy = -2.138 eV per atom
Mass density = 7.3 g cm⁻³
M_tot = 0.00 μB per atom



[16]
An optimized crystal structure of Tm2MgPb9. Source: the Alexandria database, functional GGA-PBE.

Cell lengths 4.768, 4.768, 15.229 Å; angles 90.00, 90.00, 90.00 degrees
Sites, in units of the cell vectors:
Tm (0.000, 0.000, 0.159)
Tm (0.000, 0.000, 0.841)
Mg (0.000, 0.000, 0.500)
Pb (0.000, 0.500, 0.000)
Pb (0.000, 0.500, 0.333)
Pb (0.000, 0.500, 0.667)
Pb (0.500, 0.000, 0.000)
Pb (0.500, 0.000, 0.333)
Pb (0.500, 0.000, 0.667)
Pb (0.500, 0.500, 0.169)
Pb (0.500, 0.500, 0.500)
Pb (0.500, 0.500, 0.831)

## Properties
Calculated total energy = -3.803 eV per atom
Mass density = 10.7 g cm⁻³
M_tot = 0.00 μB per atom



[17]
An optimized crystal structure of Pm2PrSm4Ho. Source: the Alexandria database, functional GGA-PBE.

Cell lengths 9.603, 9.603, 6.913 Å; angles 110.96, 110.96, 88.39 degrees
Sites, in units of the cell vectors:
Pm (0.000, 0.000, 0.000)
Pm (0.000, 0.000, 0.500)
Pm (0.000, 0.500, 0.000)
Pm (0.500, 0.000, 0.500)
Pr (0.000, 0.500, 0.500)
Pr (0.500, 0.000, 0.000)
Sm (0.252, 0.254, 0.029)
Sm (0.254, 0.252, 0.529)
Sm (0.254, 0.745, 0.499)
Sm (0.255, 0.746, 0.001)
Sm (0.745, 0.254, 0.999)
Sm (0.746, 0.255, 0.501)
Sm (0.746, 0.748, 0.471)
Sm (0.748, 0.746, 0.971)
Ho (0.500, 0.500, 0.000)
Ho (0.500, 0.500, 0.500)

## Properties
Calculated total energy = -4.328 eV per atom
Mass density = 7.2 g cm⁻³
M_tot = 0.00 μB per atom



[18]
An optimized crystal structure of LiZrOF2. Source: the Alexandria database, functional GGA-PBE.

Cell lengths 4.336, 4.336, 4.110 Å; angles 90.00, 90.00, 90.00 degrees
Sites, in units of the cell vectors:
Li (0.000, 0.000, 0.000)
Zr (0.500, 0.500, 0.500)
O (0.500, 0.500, 0.000)
F (0.000, 0.500, 0.500)
F (0.500, 0.000, 0.500)

## Properties
Calculated total energy = -6.423 eV per atom
ΔE_f (raw) = -2591 meV/atom
Mass density = 3.3 g cm⁻³
M_tot = 0.00 μB per atom



[19]
An optimized crystal structure of LaNd5Cd3. Source: the Alexandria database, functional GGA-PBE.

Cell lengths 9.509, 9.509, 7.151 Å; angles 90.00, 90.00, 120.00 degrees
Sites, in units of the cell vectors:
La (0.000, 0.000, 0.000)
La (0.000, 0.000, 0.500)
Nd (0.000, 0.332, 0.250)
Nd (0.000, 0.668, 0.750)
Nd (0.332, 0.000, 0.250)
Nd (0.332, 0.332, 0.750)
Nd (0.333, 0.667, 0.000)
Nd (0.333, 0.667, 0.500)
Nd (0.667, 0.333, 0.000)
Nd (0.667, 0.333, 0.500)
Nd (0.668, 0.000, 0.750)
Nd (0.668, 0.668, 0.250)
Cd (0.000, 0.337, 0.750)
Cd (0.000, 0.663, 0.250)
Cd (0.337, 0.000, 0.750)
Cd (0.337, 0.337, 0.250)
Cd (0.663, 0.000, 0.250)
Cd (0.663, 0.663, 0.750)

## Properties
Calculated total energy = -3.665 eV per atom
Mass density = 7.1 g cm⁻³
M_tot = 0.00 μB per atom



[20]
An optimized crystal structure of Pr8Sb2Ir. Source: the Alexandria database, functional GGA-PBE.

Cell lengths 9.931, 9.931, 7.957 Å; angles 98.12, 98.12, 27.33 degrees
Sites, in units of the cell vectors:
Pr (0.005, 0.005, 0.283)
Pr (0.214, 0.214, 0.852)
Pr (0.352, 0.352, 0.474)
Pr (0.405, 0.405, 0.986)
Pr (0.595, 0.595, 0.014)
Pr (0.648, 0.648, 0.526)
Pr (0.786, 0.786, 0.148)
Pr (0.995, 0.995, 0.717)
Sb (0.183, 0.183, 0.262)
Sb (0.817, 0.817, 0.738)
Ir (0.500, 0.500, 0.500)

## Properties
Calculated total energy = -5.560 eV per atom
ΔE_f (raw) = -529 meV/atom
Mass density = 7.3 g cm⁻³
M_tot = 0.00 μB per atom



[21]
An optimized crystal structure of Ce3ZnP2Rh9. Source: the Alexandria database, functional GGA-PBE.

Cell lengths 5.671, 5.671, 10.002 Å; angles 90.00, 90.00, 120.00 degrees
Sites, in units of the cell vectors:
Ce (0.000, 0.000, 0.000)
Ce (0.333, 0.667, 0.630)
Ce (0.667, 0.333, 0.370)
Zn (0.000, 0.000, 0.500)
P (0.333, 0.667, 0.160)
P (0.667, 0.333, 0.840)
Rh (0.000, 0.500, 0.000)
Rh (0.162, 0.324, 0.306)
Rh (0.162, 0.838, 0.306)
Rh (0.324, 0.162, 0.694)
Rh (0.500, 0.000, 0.000)
Rh (0.500, 0.500, 0.000)
Rh (0.676, 0.838, 0.306)
Rh (0.838, 0.162, 0.694)
Rh (0.838, 0.676, 0.694)

## Properties
Calculated total energy = -7.025 eV per atom
Mass density = 8.8 g cm⁻³
M_tot = 0.02 μB per atom



[22]
An optimized crystal structure of AgAs2Rh. Source: the Alexandria database, functional GGA-PBE.

Cell lengths 3.066, 3.066, 7.357 Å; angles 90.00, 90.00, 90.00 degrees
Sites, in units of the cell vectors:
Ag (0.000, 0.000, 0.000)
As (0.500, 0.500, 0.288)
As (0.500, 0.500, 0.712)
Rh (0.000, 0.000, 0.500)

## Properties
Calculated total energy = -4.920 eV per atom
Mass density = 8.7 g cm⁻³
M_tot = 0.00 μB per atom



[23]
An optimized crystal structure of Pr2BePt3. Source: the Alexandria database, functional GGA-PBE.

Cell lengths 8.629, 8.497, 5.857 Å; angles 71.22, 68.80, 39.98 degrees
Sites, in units of the cell vectors:
Pr (0.250, 0.250, 0.250)
Pr (0.250, 0.750, 0.750)
Pr (0.750, 0.250, 0.250)
Pr (0.750, 0.750, 0.750)
Be (0.168, 0.168, 0.832)
Be (0.832, 0.832, 0.168)
Pt (0.132, 0.686, 0.314)
Pt (0.314, 0.868, 0.132)
Pt (0.318, 0.318, 0.682)
Pt (0.682, 0.682, 0.318)
Pt (0.686, 0.132, 0.868)
Pt (0.868, 0.314, 0.686)

## Properties
Calculated total energy = -6.181 eV per atom
Mass density = 11.3 g cm⁻³
M_tot = 0.00 μB per atom